Entry 1:
## LiO8 (GGA-PBE)

Data for LiO8 after structural relaxation.

a b c (Å): 4.722 4.989 5.397
angles (deg): 103.32 94.45 115.77
Fractional coordinates of all 9 atoms:
1 Li 0.000 0.000 0.000
2 O 0.091 0.451 0.688
3 O 0.124 0.479 0.087
4 O 0.392 0.056 0.789
5 O 0.462 0.127 0.202
6 O 0.539 0.899 0.766
7 O 0.609 0.967 0.182
8 O 0.918 0.581 0.699
9 O 0.947 0.608 0.113

Results
The value obtained for the theoretical density is 2.05 g cm⁻³. The value obtained for the total DFT energy (no corrections) is -44.03 eV/cell. The calculation puts the formation energy from raw total energies at -272 meV per atom.


Entry 2:
## LiO (GGA-PBE)

Data for LiO after structural relaxation.

a b c (Å): 4.119 7.405 3.669
angles (deg): 90.00 90.00 90.00
Fractional coordinates of all 12 atoms:
1 Li 0.250 0.102 0.126
2 Li 0.250 0.398 0.126
3 Li 0.250 0.750 0.397
4 Li 0.750 0.250 0.603
5 Li 0.750 0.602 0.874
6 Li 0.750 0.898 0.874
7 O 0.250 0.250 0.616
8 O 0.250 0.652 0.894
9 O 0.250 0.848 0.894
10 O 0.750 0.152 0.106
11 O 0.750 0.348 0.106
12 O 0.750 0.750 0.384

Results
The value obtained for the theoretical density is 2.04 g cm⁻³. The value obtained for the total DFT energy (no corrections) is -55.42 eV/cell. The calculation puts the formation energy from raw total energies at -1183 meV per atom.


Entry 3:
## LiO (GGA-PBE)

Data for LiO after structural relaxation.

a b c (Å): 5.414 4.006 6.261
angles (deg): 90.00 90.00 90.00
Fractional coordinates of all 16 atoms:
1 Li 0.068 0.250 0.138
2 Li 0.099 0.250 0.609
3 Li 0.401 0.750 0.109
4 Li 0.432 0.750 0.638
5 Li 0.568 0.250 0.362
6 Li 0.599 0.250 0.891
7 Li 0.901 0.750 0.391
8 Li 0.932 0.750 0.862
9 O 0.249 0.559 0.376
10 O 0.249 0.941 0.376
11 O 0.251 0.059 0.876
12 O 0.251 0.441 0.876
13 O 0.749 0.559 0.124
14 O 0.749 0.941 0.124
15 O 0.751 0.059 0.624
16 O 0.751 0.441 0.624

Results
The value obtained for the theoretical density is 2.24 g cm⁻³. The value obtained for the total DFT energy (no corrections) is -77.20 eV/cell. The calculation puts the formation energy from raw total energies at -1389 meV per atom.